(1)
SrIn4Pb: optimized geometry, GGA-PBEsol.

a b c (Å): 8.726 8.726 8.726
angles (deg): 90.00 90.00 90.00
Space group F-43m (No. 216)
Asymmetric unit:
Sr1 0.000 0.000 0.000 (multiplicity 4)
In1 0.125 0.125 0.375 (multiplicity 16)
Pb1 0.250 0.250 0.750 (multiplicity 4)

Properties
ΔH_f (0 K): -0.201 eV per atom
crystal system: cubic
DOS(E_F): 14.1 states/eV per cell



(2)
TcAs2CBr: optimized geometry, GGA-PBEsol.

a b c (Å): 4.643 4.643 5.253
angles (deg): 90.00 90.00 90.00
Space group P4/mmm (No. 123)
Asymmetric unit:
Tc1 0.000 0.000 0.000 (multiplicity 1)
As1 0.000 0.500 0.000 (multiplicity 2)
C1 0.500 0.500 0.500 (multiplicity 1)
Br1 0.000 0.000 0.500 (multiplicity 1)

Properties
crystal system: tetragonal
DOS(E_F): 4.7 states/eV per cell
ΔE_f (raw): 836 kJ/mol of formula units



(3)
BaCaSe2Br: optimized geometry, GGA-PBEsol.

a b c (Å): 5.394 5.394 5.498
angles (deg): 90.00 90.00 90.00
Space group P4/mmm (No. 123)
Asymmetric unit:
Ba1 0.000 0.000 0.000 (multiplicity 1)
Ca1 0.500 0.500 0.500 (multiplicity 1)
Se1 0.000 0.500 0.500 (multiplicity 2)
Br1 0.500 0.500 0.000 (multiplicity 1)

Properties
crystal system: tetragonal
DOS(E_F): 3.0 states/eV per cell
ΔE_f (raw): -719 kJ/mol of formula units



(4)
TeMoCl7O: optimized geometry, GGA-PBEsol.

a b c (Å): 7.587 12.626 11.881
angles (deg): 90.00 93.10 90.00
Space group P2_1/c (No. 14)
Asymmetric unit:
Te1 0.231 0.154 0.370 (multiplicity 4)
Mo1 0.456 0.589 0.639 (multiplicity 4)
Cl1 0.007 0.096 0.239 (multiplicity 4)
Cl2 0.034 0.238 0.487 (multiplicity 4)
Cl3 0.250 0.501 0.980 (multiplicity 4)
Cl4 0.281 0.147 0.763 (multiplicity 4)
Cl5 0.284 0.502 0.497 (multiplicity 4)
Cl6 0.486 0.733 0.514 (multiplicity 4)
Cl7 0.494 0.575 0.267 (multiplicity 4)
O1 0.302 0.637 0.717 (multiplicity 4)

Properties
crystal system: monoclinic
ΔE_f (raw): -849 kJ/mol of formula units



(5)
Ba2ScBr: optimized geometry, GGA-PBEsol.

a b c (Å): 4.080 6.438 11.155
angles (deg): 90.00 90.00 90.00
Space group Cmm2 (No. 35)
Asymmetric unit:
Ba1 0.000 0.000 0.000 (multiplicity 2)
Ba2 0.000 0.500 0.336 (multiplicity 2)
Sc1 0.000 0.000 0.592 (multiplicity 2)
Br1 0.000 0.500 0.766 (multiplicity 2)

Properties
crystal system: orthorhombic
DOS(E_F): 9.2 states/eV per cell
ΔE_f (raw): -134 kJ/mol of formula units



(6)
ScAl2Co: optimized geometry, GGA-PBEsol.

a b c (Å): 6.133 6.133 6.133
angles (deg): 90.00 90.00 90.00
Space group F-43m (No. 216)
Asymmetric unit:
Sc1 0.000 0.000 0.000 (multiplicity 4)
Al1 0.000 0.000 0.500 (multiplicity 4)
Al2 0.250 0.250 0.750 (multiplicity 4)
Co1 0.250 0.250 0.250 (multiplicity 4)

Properties
ΔH_f (0 K): -0.381 eV per atom
crystal system: cubic
DOS(E_F): 6.2 states/eV per cell



(7)
Y2Cu2Ge: optimized geometry, GGA-PBEsol.

a b c (Å): 5.409 5.409 6.951
angles (deg): 90.00 90.00 90.00
Space group I4/mmm (No. 139)
Asymmetric unit:
Y1 0.000 0.500 0.250 (multiplicity 4)
Cu1 0.000 0.000 0.157 (multiplicity 4)
Ge1 0.000 0.000 0.500 (multiplicity 2)

Properties
ΔH_f (0 K): -0.166 eV per atom
crystal system: tetragonal
DOS(E_F): 6.3 states/eV per cell



(8)
Y2ZnNi: optimized geometry, GGA-PBEsol.

a b c (Å): 3.702 4.345 5.504
angles (deg): 90.00 109.39 90.00
Space group Pm (No. 6)
Asymmetric unit:
Y1 0.000 0.000 0.000 (multiplicity 1)
Y2 0.279 0.500 0.561 (multiplicity 1)
Zn1 0.569 0.500 0.138 (multiplicity 1)
Ni1 0.703 0.000 0.408 (multiplicity 1)

Properties
ΔH_f (0 K): -0.357 eV per atom
crystal system: monoclinic
DOS(E_F): 3.3 states/eV per cell



no.,raw total energy (eV per formula unit),calculated volume (A^3/atom)
1,-19.0,27.686
2,-24.3,22.645
3,-21.3,31.995
4,-43.4,28.412
5,-14.2,36.622
6,-24.0,14.415
7,-28.1,20.334
8,-22.8,20.874